1.
TlHg2Rh | GGA-PBE | optimized geometry

Cell lengths 4.082, 4.082, 11.140 Å; angles 79.44, 79.44, 90.00 degrees
Sites, in units of the cell vectors:
Hg 0.137 0.625 0.250
Rh 0.500 0.500 0.000
Tl 0.750 0.250 0.500
Rh 0.250 0.750 0.500
Hg 0.375 0.387 0.750
Tl 0.000 0.000 0.000
Hg 0.613 0.125 0.250
Hg 0.875 0.863 0.750

Values from the calculation:
DOS(E_F)   5.19 states/eV per cell
ΔE_f   0.275 eV per atom
Symmetry   No. 122
Final energy   -2.3054 eV/atom

2.
TlHgRh | GGA-PBE | optimized geometry

Cell lengths 6.501, 6.501, 6.501 Å; angles 151.32, 151.32, 41.00 degrees
Sites, in units of the cell vectors:
Tl 0.311 0.311 0.000
Rh 0.667 0.667 0.000
Hg 0.022 0.022 0.000

Values from the calculation:
DOS(E_F)   2.53 states/eV per cell
ΔE_f   0.202 eV per atom
Distance to the lowest polymorph of the same formula   46.4 meV/atom
Symmetry   No. 107
Final energy   -3.1381 eV/atom

3.
TlHg2Rh | GGA-PBE | optimized geometry

Cell lengths 4.921, 4.921, 3.510 Å; angles 90.00, 90.00, 90.00 degrees
Sites, in units of the cell vectors:
Tl 0.000 0.000 0.500
Rh 0.500 0.500 0.500
Hg 0.000 0.500 0.000
Hg 0.500 0.000 0.000

Values from the calculation:
DOS(E_F)   2.76 states/eV per cell
ΔE_f   0.312 eV per atom
Symmetry   No. 123
Final energy   -2.2683 eV/atom

4.
Tl2HgRh2 | GGA-PBE | optimized geometry

Cell lengths 4.302, 4.302, 6.711 Å; angles 71.31, 71.31, 90.00 degrees
Sites, in units of the cell vectors:
Tl 0.250 0.750 0.500
Tl 0.750 0.250 0.500
Rh 0.395 0.395 0.211
Hg 0.000 0.000 0.000
Rh 0.605 0.605 0.789

Values from the calculation:
DOS(E_F)   2.29 states/eV per cell
ΔE_f   0.372 eV per atom
Distance to the lowest polymorph of the same formula   302.7 meV/atom
Symmetry   No. 139
Final energy   -3.5754 eV/atom